(1)
An optimized crystal structure of InSiPS2. Source: Alexandria via LeMat-Bulk, functional PBE.

## Properties
E above lowest polymorph = 0 meV per atom
E_form (uncorrected) = 199 meV/atom
SG = No. 123

a b c (Å): 4.5660 4.5660 4.7240
angles (deg): 90.00 90.00 90.00
Last column: nearest neighbours and their distance in Å.
Atoms (fractional coordinates):
P  0.0000  0.0000  0.5000  2 Si 2.36
S  0.0000  0.5000  0.0000  2 Si 2.28
S  0.5000  0.0000  0.0000  2 Si 2.28
Si  0.0000  0.0000  0.0000  4 S 2.28, 2 P 2.36
In  0.5000  0.5000  0.5000  4 P 3.23, 8 S 3.28

(2)
An optimized crystal structure of InSiPS2. Source: Alexandria via LeMat-Bulk, functional PBE.

## Properties
E above lowest polymorph = 1010 meV per atom
E_form (uncorrected) = 1209 meV/atom
SG = No. 123

a b c (Å): 4.9289 5.1893 4.9289
angles (deg): 90.00 90.00 90.00
Last column: nearest neighbours and their distance in Å.
Atoms (fractional coordinates):
P  0.5000  0.5000  0.5000  4 Si 3.49, 8 S 3.58
S  0.0000  0.0000  0.5000  2 In 2.46
S  0.5000  0.0000  0.0000  2 In 2.46
Si  0.0000  0.5000  0.0000  2 In 2.59
In  0.0000  0.0000  0.0000  4 S 2.46, 2 Si 2.59

(3)
An optimized crystal structure of Sm6InP2S3. Source: Alexandria via LeMat-Bulk, functional PBE.

## Properties
E_form (uncorrected) = -1583 meV/atom
SG = No. 12

a b c (Å): 4.0799 8.3401 9.2255
angles (deg): 102.85 102.77 90.00
Last column: nearest neighbours and their distance in Å.
Atoms (fractional coordinates):
Sm  0.3269  0.9061  0.6539  3 S 2.81-2.98, 2 P 2.88, 1 In 3.03
Sm  0.6696  0.5779  0.3392  3 P 2.85-2.87, 3 S 2.95-2.97
Sm  0.6731  0.0939  0.3461  3 S 2.81-2.98, 2 P 2.88, 1 In 3.03
Sm  0.0016  0.2706  0.0032  3 S 2.80-2.96, 1 P 2.91, 2 In 3.04
Sm  0.9984  0.7294  0.9968  3 S 2.80-2.96, 1 P 2.91, 2 In 3.04
Sm  0.3304  0.4221  0.6608  3 P 2.85-2.87, 3 S 2.95-2.97
In  0.5000  0.0000  0.0000  6 Sm 3.03-3.04
P  0.8323  0.6647  0.6645  6 Sm 2.85-2.91
P  0.1677  0.3353  0.3355  6 Sm 2.85-2.91
S  0.5000  0.5000  0.0000  6 Sm 2.80-2.97
S  0.8332  0.1687  0.6664  6 Sm 2.81-2.98
S  0.1668  0.8313  0.3336  6 Sm 2.81-2.98

(4)
An optimized crystal structure of InSnPS2. Source: Alexandria via LeMat-Bulk, functional PBE.

## Properties
E above lowest polymorph = 0 meV per atom
E_form (uncorrected) = 388 meV/atom
SG = No. 123

a b c (Å): 5.0626 5.0626 5.1205
angles (deg): 90.00 90.00 90.00
Last column: nearest neighbours and their distance in Å.
Atoms (fractional coordinates):
P  0.0000  0.0000  0.5000  2 Sn 2.56
S  0.0000  0.5000  0.0000  2 Sn 2.53
S  0.5000  0.0000  0.0000  2 Sn 2.53
Sn  0.0000  0.0000  0.0000  4 S 2.53, 2 P 2.56
In  0.5000  0.5000  0.5000  4 P 3.58, 8 S 3.60

(5)
An optimized crystal structure of InSnP2S. Source: Alexandria via LeMat-Bulk, functional PBE.

## Properties
E above lowest polymorph = 0 meV per atom
E_form (uncorrected) = 745 meV/atom
SG = No. 123

a b c (Å): 5.0086 5.0086 5.1006
angles (deg): 90.00 90.00 90.00
Last column: nearest neighbours and their distance in Å.
Atoms (fractional coordinates):
P  0.0000  0.5000  0.0000  2 In 2.50
P  0.5000  0.0000  0.0000  2 In 2.50
S  0.0000  0.0000  0.5000  2 In 2.55
Sn  0.5000  0.5000  0.5000  4 S 3.54, 8 P 3.57
In  0.0000  0.0000  0.0000  4 P 2.50, 2 S 2.55

(6)
An optimized crystal structure of SrIn3P4S12. Source: Alexandria via LeMat-Bulk, functional PBE.

## Properties
E_form (uncorrected) = -303 meV/atom
SG = No. 155

a b c (Å): 8.6963 8.6963 8.6963
angles (deg): 98.57 98.57 98.57
Last column: nearest neighbours and their distance in Å.
Atoms (fractional coordinates):
Sr  0.0000  0.0000  0.0000  6 S 3.17
In  0.5167  0.4833  0.0000  6 S 3.07-3.17
In  0.4833  0.0000  0.5167  6 S 3.07-3.17
In  0.0000  0.5167  0.4833  6 S 3.07-3.17
P  0.9681  0.0319  0.5000  3 S 1.96-1.99
P  0.0319  0.5000  0.9681  3 S 1.96-1.99
P  0.5000  0.9681  0.0319  3 S 1.96-1.99
P  0.5000  0.5000  0.5000  3 S 1.96
S  0.5000  0.3509  0.6491  1 P 1.96
S  0.8828  0.5000  0.1172  1 P 1.96
S  0.1172  0.8828  0.5000  1 P 1.96
S  0.5000  0.1172  0.8828  1 P 1.96
S  0.3321  0.9401  0.1625  1 P 1.99
S  0.1625  0.3321  0.9401  1 P 1.99
S  0.9401  0.1625  0.3321  1 P 1.99
S  0.6679  0.8375  0.0599  1 P 1.99
S  0.0599  0.6679  0.8375  1 P 1.99
S  0.8375  0.0599  0.6679  1 P 1.99
S  0.6491  0.5000  0.3509  1 P 1.96
S  0.3509  0.6491  0.5000  1 P 1.96

(7)
An optimized crystal structure of SrInP2S8. Source: Alexandria via LeMat-Bulk, functional PBE.

## Properties
E_form (uncorrected) = -497 meV/atom
SG = No. 147

a b c (Å): 5.9696 5.9696 9.0161
angles (deg): 90.00 90.00 120.00
Last column: nearest neighbours and their distance in Å.
Atoms (fractional coordinates):
Sr  0.0000  0.0000  0.0000  12 S 3.40-3.45
In  0.0000  0.0000  0.5000  6 S 2.65
P  0.6667  0.3333  0.2463  4 S 2.04-2.06
P  0.3333  0.6667  0.7537  4 S 2.04-2.06
S  0.3333  0.6667  0.9795  1 P 2.04
S  0.3331  0.3339  0.3055  1 P 2.06
S  0.6661  0.9992  0.3055  1 P 2.06
S  0.6667  0.3333  0.0205  1 P 2.04
S  0.3339  0.0008  0.6945  1 P 2.06
S  0.6669  0.6661  0.6945  1 P 2.06
S  0.9992  0.3331  0.6945  1 P 2.06
S  0.0008  0.6669  0.3055  1 P 2.06

(8)
An optimized crystal structure of SrInPS6. Source: Alexandria via LeMat-Bulk, functional PBE.

## Properties
E_form (uncorrected) = -346 meV/atom
SG = No. 149

a b c (Å): 6.2958 6.2958 6.4944
angles (deg): 90.00 90.00 60.00
Last column: nearest neighbours and their distance in Å.
Atoms (fractional coordinates):
Sr  0.0000  0.0000  0.0000  6 S 3.03
In  0.6666  0.6667  0.5000  6 S 2.61
P  0.3333  0.3333  0.5000  6 S 2.23
S  0.0462  0.3532  0.2876  1 P 2.23
S  0.3532  0.0462  0.7124  1 P 2.23
S  0.6005  0.3532  0.7124  1 P 2.23
S  0.0462  0.6006  0.7124  1 P 2.23
S  0.3532  0.6006  0.2876  1 P 2.23
S  0.6005  0.0462  0.2876  1 P 2.23

Q: The lowest E_form (uncorrected) belongs to which entry?
A: Sm6InP2S3

Q: What is the formula in the fifth record?
A: InSnP2S

Q: Look up the E_form (uncorrected) of the seventh one.
A: -497 meV/atom